1.
VASP calculation (PBE-GGA) on crystalline Cs4In3Au2 at its relaxed geometry.

abc: 10.163 10.163 9.059
angles: 106.12 106.12 26.59
Fractional positions:
Cs  0.078  0.078  0.388
Cs  0.267  0.267  0.808
Cs  0.733  0.733  0.192
Cs  0.922  0.922  0.612
In  0.404  0.404  0.217
In  0.500  0.500  0.000
In  0.596  0.596  0.783
Au  0.081  0.081  0.947
Au  0.919  0.919  0.053

## Properties
DFT formation energy (eV/atom): -0.187
Uncorrected energy (eV for the cell shown): -19.87
Magnetization (μB per atom): 0.0252



2.
VASP calculation (PBE-GGA) on crystalline HfMo3H at its relaxed geometry.

abc: 4.148 4.148 4.148
angles: 90.00 90.00 90.00
Fractional positions:
Hf  0.000  0.000  0.000
Mo  0.000  0.500  0.500
Mo  0.500  0.000  0.500
Mo  0.500  0.500  0.000
H  0.500  0.500  0.500

## Properties
Uncorrected energy (eV for the cell shown): -44.64
Magnetization (μB per atom): 0.0000



3.
VASP calculation (PBE-GGA) on crystalline KBa2Pb at its relaxed geometry.

abc: 16.944 4.364 6.140
angles: 90.00 111.22 90.00
Fractional positions:
K  0.000  0.000  0.000
K  0.500  0.500  0.000
Ba  0.137  0.500  0.637
Ba  0.322  0.500  0.322
Ba  0.637  0.000  0.637
Ba  0.822  0.000  0.322
Pb  0.312  0.000  0.811
Pb  0.812  0.500  0.811

## Properties
DFT formation energy (eV/atom): -0.184
Uncorrected energy (eV for the cell shown): -18.78
Magnetization (μB per atom): 0.0057